Entry from the Alexandria database: crystalline Nd6ZnRu2 at its relaxed geometry (PBE).

```
Nd6ZnRu2
1.0
5.0943 -2.6474 0.0000
5.0943 2.6474 0.0000
-1.5981 0.0000 8.9830
Nd Zn Ru
6 1 2
Direct
0.0419 0.0419 0.3386
0.2882 0.2882 0.6652
0.3452 0.3452 0.1063
0.6548 0.6548 0.8937
0.7118 0.7118 0.3348
0.9581 0.9581 0.6614
0.0000 0.0000 0.0000
0.3893 0.3893 0.3992
0.6107 0.6107 0.6008
```

Results
symmetry: C2/m
E_form: -0.15 eV per atom
final energy: -5.53 eV/atom
energy relative to the lowest polymorph listed for this composition: 0.56 eV per formula unit